Entry 1:
CeDyCd (PBE, relaxed); offset from the most stable computed form = 0.037 eV per atom; E = -3.917 eV/atom; energy of formation from the pure elements = -29 kJ/mol of formula units; Fermi-level density of states = 6.53 states/eV/cell
1.0
-0.407 -1.971 -2.821
3.380 0.303 -0.700
-0.175 -4.933 5.600
Cd Ce Dy
1 1 1
Cartesian
1.935 -2.805 -0.448
0.018 -0.078 0.052
0.846 -3.718 2.475

---

Entry 2:
RbBeS2N (PBE, relaxed); offset from the most stable computed form = 0.000 eV per atom; E = -3.906 eV/atom; Fermi-level density of states = 5.23 states/eV/cell
1.0
5.675 0.000 0.000
0.000 5.675 0.000
0.000 0.000 3.079
Be S Rb N
1 2 1 1
Cartesian
0.000 0.000 0.000
0.000 2.838 0.000
2.838 0.000 0.000
2.838 2.838 1.540
0.000 0.000 1.540

---

Entry 3:
Ca4LaSc (PBE, relaxed); E = -2.841 eV/atom; energy of formation from the pure elements = 214 kJ/mol of formula units; Fermi-level density of states = 12.03 states/eV/cell
1.0
0.000 4.902 4.902
4.902 0.000 4.902
4.902 4.902 0.000
Ca La Sc
4 1 1
Cartesian
3.673 6.131 6.131
6.131 6.131 3.673
6.131 3.673 6.131
3.673 3.673 3.673
7.353 7.353 7.353
0.000 0.000 0.000

---

Entry 4:
PrCdInGa (PBE, relaxed); E = -3.125 eV/atom; energy of formation from the pure elements = -100 kJ/mol of formula units; Fermi-level density of states = 3.54 states/eV/cell
1.0
-1.775 3.893 -2.933
-0.375 -0.588 -5.140
-4.667 -0.356 -2.236
Pr Cd Ga In
1 1 1 1
Cartesian
-1.704 0.737 -2.578
0.000 0.000 0.000
-3.408 1.474 -5.155
-5.112 2.212 -7.733

---

Q: Among the records above, which one has the lowest E?
A: CeDyCd